This record from Alexandria via LeMat-Bulk describes crystalline YBeCu4 at its relaxed geometry. The functional is GGA-PBE.

The structure in POSCAR format:
```
YBeCu4
1.0
0.0000 3.5134 3.5134
3.5134 0.0000 3.5134
3.5134 3.5134 0.0000
Y Be Cu
1 1 4
direct
0.0000 0.0000 0.0000 Y
0.7500 0.7500 0.7500 Be
0.3765 0.3765 0.3765 Cu
0.3765 0.3765 0.8705 Cu
0.3765 0.8705 0.3765 Cu
0.8705 0.3765 0.3765 Cu
```

Calculated values
energy of formation	-0.066	eV per atom
DFT total energy	-4.495	eV/atom
distance to the lowest polymorph of the same formula	0.097	eV/atom
magnetization	0.00	μB per formula unit

=====

This record from Alexandria via LeMat-Bulk describes crystalline YBeCu at its relaxed geometry. The functional is GGA-PBE.

The structure in POSCAR format:
```
YBeCu
1.0
0.0000 3.1947 3.1947
3.1947 0.0000 3.1947
3.1947 3.1947 0.0000
Y Be Cu
1 1 1
direct
0.0000 0.0000 0.0000 Y
0.2500 0.2500 0.2500 Be
0.7500 0.7500 0.7500 Cu
```

Calculated values
energy of formation	0.718	eV per atom
DFT total energy	-4.044	eV/atom
distance to the lowest polymorph of the same formula	0.843	eV/atom
magnetization	0.00	μB per formula unit

=====

This record from Alexandria via LeMat-Bulk describes crystalline Y2BeCu at its relaxed geometry. The functional is GGA-PBE.

The structure in POSCAR format:
```
Y2BeCu
1.0
1.9471 1.1241 7.1224
-1.9471 1.1241 7.1224
0.0000 -2.2483 7.1224
Y Be Cu
2 1 1
direct
0.2480 0.2480 0.2480 Y
0.7520 0.7520 0.7520 Y
0.5000 0.5000 0.5000 Be
0.0000 0.0000 0.0000 Cu
```

Calculated values
energy of formation	0.210	eV per atom
DFT total energy	-4.977	eV/atom
magnetization	0.00	μB per formula unit

=====

This record from Alexandria via LeMat-Bulk describes crystalline Y2BeCu at its relaxed geometry. The functional is GGA-PBE.

The structure in POSCAR format:
```
Y2BeCu
1.0
2.0269 1.1702 6.3765
-2.0269 1.1702 6.3765
0.0000 -2.3404 6.3765
Y Be Cu
2 1 1
direct
0.0000 0.0000 0.0000 Y
0.1793 0.1793 0.1793 Y
0.4205 0.4205 0.4205 Be
0.7574 0.7574 0.7574 Cu
```

Calculated values
energy of formation	-0.050	eV per atom
DFT total energy	-5.238	eV/atom
magnetization	0.00	μB per formula unit

=====

This record from Alexandria via LeMat-Bulk describes crystalline YBeCu at its relaxed geometry. The functional is GGA-PBE.

The structure in POSCAR format:
```
YBeCu
1.0
4.0653 0.0000 0.0000
-2.0327 3.5207 0.0000
0.0000 0.0000 3.6870
Y Be Cu
1 1 1
direct
0.0000 0.0000 0.0000 Y
0.3333 0.6667 0.5000 Be
0.6667 0.3333 0.5000 Cu
```

Calculated values
energy of formation	-0.125	eV per atom
DFT total energy	-4.887	eV/atom
distance to the lowest polymorph of the same formula	0.000	eV/atom
magnetization	0.00	μB per formula unit

=====

This record from Alexandria via LeMat-Bulk describes crystalline Y2BeCu at its relaxed geometry. The functional is GGA-PBE.

The structure in POSCAR format:
```
Y2BeCu
1.0
-2.3808 2.3808 8.8396
2.3808 -2.3808 8.8396
2.3808 2.3808 -8.8396
Y Be Cu
4 2 2
direct
0.1217 0.6250 0.9967 Y
0.3750 0.3717 0.4967 Y
0.6283 0.1250 0.0033 Y
0.8750 0.8783 0.5033 Y
0.0000 0.0000 0.0000 Be
0.7500 0.2500 0.5000 Be
0.2500 0.7500 0.5000 Cu
0.5000 0.5000 0.0000 Cu
```

Calculated values
energy of formation	0.659	eV per atom
DFT total energy	-4.529	eV/atom
magnetization	0.00	μB per formula unit

=====

This record from Alexandria via LeMat-Bulk describes crystalline Y2BeCu2 at its relaxed geometry. The functional is GGA-PBE.

The structure in POSCAR format:
```
Y2BeCu2
1.0
-2.7201 2.7201 3.4611
2.7201 -2.7201 3.4611
2.7201 2.7201 -3.4611
Y Be Cu
2 1 2
direct
0.2500 0.7500 0.5000 Y
0.7500 0.2500 0.5000 Y
0.0000 0.0000 0.0000 Be
0.3350 0.3350 0.0000 Cu
0.6650 0.6650 0.0000 Cu
```

Calculated values
energy of formation	0.091	eV per atom
DFT total energy	-4.878	eV/atom
distance to the lowest polymorph of the same formula	0.130	eV/atom
magnetization	0.00	μB per formula unit

=====

This record from Alexandria via LeMat-Bulk describes crystalline YBe2Cu2 at its relaxed geometry. The functional is GGA-PBE.

The structure in POSCAR format:
```
YBe2Cu2
1.0
-1.9965 1.9965 4.5063
1.9965 -1.9965 4.5063
1.9965 1.9965 -4.5063
Y Be Cu
1 2 2
direct
0.0000 0.0000 0.0000 Y
0.2500 0.7500 0.5000 Be
0.7500 0.2500 0.5000 Be
0.3640 0.3640 0.0000 Cu
0.6360 0.6360 0.0000 Cu
```

Calculated values
energy of formation	-0.108	eV per atom
DFT total energy	-4.530	eV/atom
distance to the lowest polymorph of the same formula	0.000	eV/atom
magnetization	0.00	μB per formula unit

=====

This record from Alexandria via LeMat-Bulk describes crystalline Y2Be15Cu2 at its relaxed geometry. The functional is GGA-PBE.

The structure in POSCAR format:
```
Y2Be15Cu2
1.0
3.9135 2.2595 3.8237
-3.9135 2.2595 3.8237
0.0000 -4.5189 3.8237
Y Be Cu
2 15 2
direct
0.1564 0.1564 0.1564 Y
0.8436 0.8436 0.8436 Y
0.0000 0.5000 0.5000 Be
0.1645 0.1645 0.6566 Be
0.1645 0.6566 0.1645 Be
0.2218 0.5000 0.7782 Be
0.2218 0.7782 0.5000 Be
0.3434 0.8355 0.8355 Be
0.5000 0.0000 0.5000 Be
0.5000 0.2218 0.7782 Be
0.5000 0.5000 0.0000 Be
0.5000 0.7782 0.2218 Be
0.6566 0.1645 0.1645 Be
0.7782 0.2218 0.5000 Be
0.7782 0.5000 0.2218 Be
0.8355 0.3434 0.8355 Be
0.8355 0.8355 0.3434 Be
0.3965 0.3965 0.3965 Cu
0.6035 0.6035 0.6035 Cu
```

Calculated values
energy of formation	-0.143	eV per atom
DFT total energy	-4.196	eV/atom
magnetization	0.00	μB per formula unit

=====

This record from Alexandria via LeMat-Bulk describes crystalline Y2Be5Cu5 at its relaxed geometry. The functional is GGA-PBE.

The structure in POSCAR format:
```
Y2Be5Cu5
1.0
3.8622 0.0000 0.0000
0.0000 4.7784 0.0000
0.0000 0.0000 8.6653
Y Be Cu
2 5 5
direct
0.0000 0.0000 0.0000 Y
0.0000 0.5000 0.5000 Y
0.5000 0.0000 0.5000 Be
0.5000 0.2482 0.2547 Be
0.5000 0.2482 0.7453 Be
0.5000 0.7518 0.2547 Be
0.5000 0.7518 0.7453 Be
0.0000 0.0000 0.3318 Cu
0.0000 0.0000 0.6682 Cu
0.0000 0.5000 0.1831 Cu
0.0000 0.5000 0.8169 Cu
0.5000 0.5000 0.0000 Cu
```

Calculated values
energy of formation	-0.178	eV per atom
DFT total energy	-4.515	eV/atom
magnetization	0.00	μB per formula unit

=====

This record from Alexandria via LeMat-Bulk describes crystalline Y2BeCu at its relaxed geometry. The functional is GGA-PBE.

The structure in POSCAR format:
```
Y2BeCu
1.0
4.8831 0.0000 0.0000
0.0000 4.8831 0.0000
0.0000 0.0000 3.4651
Y Be Cu
2 1 1
direct
0.0000 0.5000 0.0000 Y
0.5000 0.0000 0.0000 Y
0.0000 0.0000 0.5000 Be
0.5000 0.5000 0.5000 Cu
```

Calculated values
energy of formation	-0.067	eV per atom
DFT total energy	-5.254	eV/atom
magnetization	0.00	μB per formula unit

=====

This record from Alexandria via LeMat-Bulk describes crystalline Y2BeCu2 at its relaxed geometry. The functional is GGA-PBE.

The structure in POSCAR format:
```
Y2BeCu2
1.0
7.1226 0.0000 0.0000
0.0000 7.1226 0.0000
0.0000 0.0000 3.8513
Y Be Cu
4 2 4
direct
0.1804 0.3196 0.0000 Y
0.3196 0.8196 0.0000 Y
0.6804 0.1804 0.0000 Y
0.8196 0.6804 0.0000 Y
0.0000 0.0000 0.5000 Be
0.5000 0.5000 0.5000 Be
0.1235 0.6235 0.5000 Cu
0.3765 0.1235 0.5000 Cu
0.6235 0.8765 0.5000 Cu
0.8765 0.3765 0.5000 Cu
```

Calculated values
energy of formation	-0.038	eV per atom
DFT total energy	-5.008	eV/atom
distance to the lowest polymorph of the same formula	0.000	eV/atom
magnetization	0.00	μB per formula unit

=====

This record from Alexandria via LeMat-Bulk describes crystalline YBe2Cu2 at its relaxed geometry. The functional is GGA-PBE.

The structure in POSCAR format:
```
YBe2Cu2
1.0
7.1769 0.0000 0.0000
0.0000 7.1769 0.0000
0.0000 0.0000 2.6669
Y Be Cu
2 4 4
direct
0.0000 0.0000 0.0000 Y
0.5000 0.5000 0.0000 Y
0.1615 0.3385 0.5000 Be
0.3385 0.8385 0.5000 Be
0.6615 0.1615 0.5000 Be
0.8385 0.6615 0.5000 Be
0.1238 0.6238 0.0000 Cu
0.3762 0.1238 0.0000 Cu
0.6238 0.8762 0.0000 Cu
0.8762 0.3762 0.0000 Cu
```

Calculated values
energy of formation	0.143	eV per atom
DFT total energy	-4.279	eV/atom
distance to the lowest polymorph of the same formula	0.251	eV/atom
magnetization	0.00	μB per formula unit

=====

This record from Alexandria via LeMat-Bulk describes crystalline YBe5Cu7 at its relaxed geometry. The functional is GGA-PBE.

The structure in POSCAR format:
```
YBe5Cu7
1.0
-2.2542 4.0917 4.0852
2.2542 -4.0917 4.0852
2.2542 4.0917 -4.0852
Y Be Cu
1 5 7
direct
0.0000 0.0000 0.0000 Y
0.0070 0.0040 0.5043 Be
0.0070 0.5027 0.0030 Be
0.2395 0.7395 0.5000 Be
0.4997 0.0040 0.9970 Be
0.4997 0.5027 0.4957 Be
0.2242 0.5075 0.7167 Cu
0.3481 0.3481 0.0000 Cu
0.3487 0.9968 0.3519 Cu
0.6449 0.9968 0.6481 Cu
0.6469 0.6469 0.0000 Cu
0.7753 0.2753 0.5000 Cu
0.7908 0.5075 0.2833 Cu
```

Calculated values
energy of formation	-0.138	eV per atom
DFT total energy	-4.274	eV/atom
magnetization	0.00	μB per formula unit

=====

This record from Alexandria via LeMat-Bulk describes crystalline YBe2Cu9 at its relaxed geometry. The functional is GGA-PBE.

The structure in POSCAR format:
```
YBe2Cu9
1.0
-4.9302 4.9302 3.1591
4.9302 -4.9302 3.1591
4.9302 4.9302 -3.1591
Y Be Cu
2 4 18
direct
0.3750 0.6250 0.7500 Y
0.6250 0.3750 0.2500 Y
0.0000 0.0000 0.0000 Be
0.0000 0.0000 0.5000 Be
0.0000 0.5000 0.0000 Be
0.5000 0.0000 0.5000 Be
0.1250 0.8750 0.2500 Cu
0.1426 0.5678 0.3298 Cu
0.1426 0.8128 0.5748 Cu
0.1872 0.2621 0.3298 Cu
0.1872 0.8574 0.9252 Cu
0.2621 0.1872 0.8298 Cu
0.2621 0.4322 0.0748 Cu
0.4322 0.2621 0.5748 Cu
0.4322 0.8574 0.1702 Cu
0.5678 0.1426 0.8298 Cu
0.5678 0.7379 0.4252 Cu
0.7379 0.5678 0.9252 Cu
0.7379 0.8128 0.1702 Cu
0.8128 0.1426 0.0748 Cu
0.8128 0.7379 0.6702 Cu
0.8574 0.1872 0.4252 Cu
0.8574 0.4322 0.6702 Cu
0.8750 0.1250 0.7500 Cu
```

Calculated values
energy of formation	-0.120	eV per atom
DFT total energy	-4.352	eV/atom
magnetization	0.00	μB per formula unit

=====

This record from Alexandria via LeMat-Bulk describes crystalline Y2BeCu at its relaxed geometry. The functional is GGA-PBE.

The structure in POSCAR format:
```
Y2BeCu
1.0
0.0000 3.3992 3.3992
3.3992 0.0000 3.3992
3.3992 3.3992 0.0000
Y Be Cu
2 1 1
direct
0.0000 0.0000 0.0000 Y
0.2500 0.2500 0.2500 Y
0.7500 0.7500 0.7500 Be
0.5000 0.5000 0.5000 Cu
```

Calculated values
energy of formation	0.379	eV per atom
DFT total energy	-4.808	eV/atom
magnetization	0.36	μB per formula unit

=====

This record from Alexandria via LeMat-Bulk describes crystalline YBeCu at its relaxed geometry. The functional is GGA-PBE.

The structure in POSCAR format:
```
YBeCu
1.0
2.0230 -6.7933 0.0000
2.0230 6.7933 0.0000
0.0000 0.0000 4.1900
Y Be Cu
2 2 2
direct
0.1398 0.8602 0.7500 Y
0.8602 0.1398 0.2500 Y
0.5000 0.5000 0.0000 Be
0.5000 0.5000 0.5000 Be
0.3573 0.6427 0.7500 Cu
0.6427 0.3573 0.2500 Cu
```

Calculated values
energy of formation	0.084	eV per atom
DFT total energy	-4.678	eV/atom
distance to the lowest polymorph of the same formula	0.209	eV/atom
magnetization	0.00	μB per formula unit

=====

This record from Alexandria via LeMat-Bulk describes crystalline YBe3Cu at its relaxed geometry. The functional is GGA-PBE.

The structure in POSCAR format:
```
YBe3Cu
1.0
5.0093 0.0000 0.0000
0.0000 5.0093 0.0000
0.0000 0.0000 5.0093
Y Be Cu
1 3 1
direct
0.0000 0.0000 0.0000 Y
0.0000 0.0000 0.5000 Be
0.0000 0.5000 0.0000 Be
0.5000 0.0000 0.0000 Be
0.5000 0.5000 0.5000 Cu
```

Calculated values
energy of formation	2.143	eV per atom
DFT total energy	-2.205	eV/atom
distance to the lowest polymorph of the same formula	2.039	eV/atom
magnetization	0.00	μB per formula unit

=====

This record from Alexandria via LeMat-Bulk describes crystalline YBe2Cu10 at its relaxed geometry. The functional is GGA-PBE.

The structure in POSCAR format:
```
YBe2Cu10
1.0
0.0000 5.8200 5.9972
2.3577 0.0000 5.9972
2.3577 5.8200 0.0000
Y Be Cu
1 2 10
direct
0.0000 0.0000 0.0000 Y
0.0000 0.5000 0.0000 Be
0.5000 0.0000 0.5000 Be
0.0000 0.0000 0.5000 Cu
0.0082 0.3514 0.6486 Cu
0.2737 0.4894 0.5106 Cu
0.3514 0.0082 0.9918 Cu
0.4894 0.2737 0.7263 Cu
0.5000 0.5000 0.0000 Cu
0.5106 0.7263 0.2737 Cu
0.6486 0.9918 0.0082 Cu
0.7263 0.5106 0.4894 Cu
0.9918 0.6486 0.3514 Cu
```

Calculated values
energy of formation	-0.115	eV per atom
DFT total energy	-4.337	eV/atom
magnetization	0.00	μB per formula unit

=====

This record from Alexandria via LeMat-Bulk describes crystalline YBeCu at its relaxed geometry. The functional is GGA-PBE.

The structure in POSCAR format:
```
YBeCu
1.0
0.0000 3.0867 3.0867
3.0867 0.0000 3.0867
3.0867 3.0867 0.0000
Y Be Cu
1 1 1
direct
0.0000 0.0000 0.0000 Y
0.5000 0.5000 0.5000 Be
0.7500 0.7500 0.7500 Cu
```

Calculated values
energy of formation	0.224	eV per atom
DFT total energy	-4.538	eV/atom
distance to the lowest polymorph of the same formula	0.349	eV/atom
magnetization	0.00	μB per formula unit

=====

This record from Alexandria via LeMat-Bulk describes crystalline Y2BeCu at its relaxed geometry. The functional is GGA-PBE.

The structure in POSCAR format:
```
Y2BeCu
1.0
4.1197 0.0000 0.0000
0.0000 2.1711 4.7344
0.0000 -2.1711 4.7344
Y Be Cu
2 1 1
direct
0.0000 0.0000 0.0000 Y
0.5000 0.2962 0.2962 Y
0.0000 0.6960 0.6960 Be
0.5000 0.5972 0.5972 Cu
```

Calculated values
energy of formation	-0.086	eV per atom
DFT total energy	-5.274	eV/atom
magnetization	0.00	μB per formula unit

=====

This record from Alexandria via LeMat-Bulk describes crystalline Y2BeCu at its relaxed geometry. The functional is GGA-PBE.

The structure in POSCAR format:
```
Y2BeCu
1.0
-1.7014 2.3250 5.1267
1.7014 -2.3250 5.1267
1.7014 2.3250 -5.1267
Y Be Cu
2 1 1
direct
0.0000 0.0000 0.0000 Y
0.7141 0.2141 0.5000 Y
0.2853 0.7853 0.5000 Be
0.4338 0.4338 0.0000 Cu
```

Calculated values
energy of formation	0.012	eV per atom
DFT total energy	-5.176	eV/atom
magnetization	0.00	μB per formula unit

=====

This record from Alexandria via LeMat-Bulk describes crystalline YBeCu4 at its relaxed geometry. The functional is GGA-PBE.

The structure in POSCAR format:
```
YBeCu4
1.0
5.0751 0.0000 0.0000
-2.5376 4.3952 0.0000
0.0000 0.0000 3.8817
Y Be Cu
1 1 4
direct
0.0000 0.0000 0.0000 Y
0.3333 0.6667 0.0000 Be
0.0092 0.5046 0.5000 Cu
0.4954 0.5046 0.5000 Cu
0.4954 0.9908 0.5000 Cu
0.6667 0.3333 0.0000 Cu
```

Calculated values
energy of formation	-0.163	eV per atom
DFT total energy	-4.592	eV/atom
distance to the lowest polymorph of the same formula	0.000	eV/atom
magnetization	0.00	μB per formula unit

=====

This record from Alexandria via LeMat-Bulk describes crystalline YBe3Cu at its relaxed geometry. The functional is GGA-PBE.

The structure in POSCAR format:
```
YBe3Cu
1.0
4.1412 0.0000 0.0000
0.0000 4.1412 0.0000
0.0000 0.0000 4.1412
Y Be Cu
1 3 1
direct
0.0000 0.0000 0.0000 Y
0.0000 0.5000 0.5000 Be
0.5000 0.0000 0.5000 Be
0.5000 0.5000 0.0000 Be
0.5000 0.5000 0.5000 Cu
```

Calculated values
energy of formation	0.104	eV per atom
DFT total energy	-4.243	eV/atom
distance to the lowest polymorph of the same formula	0.000	eV/atom
magnetization	0.00	μB per formula unit

=====

This record from Alexandria via LeMat-Bulk describes crystalline YBeCu at its relaxed geometry. The functional is GGA-PBE.

The structure in POSCAR format:
```
YBeCu
1.0
-1.5683 1.5748 5.0416
1.5683 -1.5748 5.0416
1.5683 1.5748 -5.0416
Y Be Cu
1 1 1
direct
0.0000 0.0000 0.0000 Y
0.2963 0.2963 0.0000 Be
0.7081 0.7081 0.0000 Cu
```

Calculated values
energy of formation	0.048	eV per atom
DFT total energy	-4.714	eV/atom
distance to the lowest polymorph of the same formula	0.173	eV/atom
magnetization	0.19	μB per formula unit